Material: RbAlWF2
Method: DFT, GGA+U
State: relaxed

- Energy: -3.097 eV per atom

Lattice parameters (Å, degrees): 4.897 4.897 5.933 90.00 90.00 90.00
Space group P4/mmm (No. 123)
Symmetry-distinct sites (fractional):
Rb 0.000 0.000 0.000 [1 per cell]
Al 0.000 0.000 0.500 [1 per cell]
W 0.500 0.500 0.500 [1 per cell]
F 0.000 0.500 0.000 [2 per cell]